(1)
# Mn2CoAg (PBE-GGA, optimized geometry)
# calculated formation energy	0.681	eV per atom
# relative energy among the computed polymorphs	0.515	eV per atom
# electronic total energy	-102.29	eV for the cell shown
data_Mn2CoAg
_chemical_formula_sum 'Mn8 Co4 Ag4'
_symmetry_space_group_name_H-M 'I -4 2 d'
_symmetry_Int_Tables_number 122
_symmetry_space_group_name_Hall 'I -4 2bw'
_cell_length_a 6.825
_cell_length_b 6.825
_cell_length_c 5.361
_cell_angle_alpha 90.00
_cell_angle_beta 90.00
_cell_angle_gamma 90.00
loop_
_atom_site_label
_atom_site_fract_x
_atom_site_fract_y
_atom_site_fract_z
Mn1 0.220 0.750 0.125
Co1 0.000 0.000 0.000
Ag1 0.000 0.000 0.500

---

(2)
# AcNp2TaO8 (PBE-GGA, optimized geometry)
# electronic total energy	-235.22	eV for the cell shown
data_AcNp2TaO8
_chemical_formula_sum 'Ac2 Np4 Ta2 O16'
_symmetry_space_group_name_H-M 'C m m m'
_symmetry_Int_Tables_number 65
_symmetry_space_group_name_Hall '-C 2 2'
_cell_length_a 7.196
_cell_length_b 7.333
_cell_length_c 7.069
_cell_angle_alpha 90.00
_cell_angle_beta 90.00
_cell_angle_gamma 90.00
loop_
_atom_site_label
_atom_site_fract_x
_atom_site_fract_y
_atom_site_fract_z
Ac1 0.000 0.000 0.000
Np1 0.000 0.500 0.261
Ta1 0.000 0.000 0.500
O1 0.000 0.283 0.500
O2 0.000 0.330 0.000
O3 0.191 0.000 0.294

---

(3)
# CdSbI2O (PBE-GGA, optimized geometry)
# relative energy among the computed polymorphs	0.384	eV per atom
# electronic total energy	-12.56	eV for the cell shown
data_CdSbI2O
_chemical_formula_sum 'Cd1 Sb1 I2 O1'
_symmetry_space_group_name_H-M 'P 4/m m m'
_symmetry_Int_Tables_number 123
_symmetry_space_group_name_Hall '-P 4 2'
_cell_length_a 6.324
_cell_length_b 6.324
_cell_length_c 4.020
_cell_angle_alpha 90.00
_cell_angle_beta 90.00
_cell_angle_gamma 90.00
loop_
_atom_site_label
_atom_site_fract_x
_atom_site_fract_y
_atom_site_fract_z
Cd1 0.000 0.000 0.000
Sb1 0.500 0.500 0.000
I1 0.000 0.500 0.500
O1 0.500 0.500 0.500

---

(4)
# Tl3SbS4 (PBE-GGA, optimized geometry)
# relative energy among the computed polymorphs	0.000	eV per atom
# electronic total energy	-120.55	eV for the cell shown
data_Tl3SbS4
_chemical_formula_sum 'Tl12 Sb4 S16'
_symmetry_space_group_name_H-M 'P n m a'
_symmetry_Int_Tables_number 62
_cell_length_a 9.517
_cell_length_b 11.128
_cell_length_c 9.535
_cell_angle_alpha 90.00
_cell_angle_beta 90.00
_cell_angle_gamma 90.00
loop_
_symmetry_equiv_pos_as_xyz
'x,y,z'
'-x,-y,-z'
'-x+1/2,-y,z+1/2'
'x+1/2,y,-z+1/2'
'x+1/2,-y+1/2,-z+1/2'
'-x+1/2,y+1/2,z+1/2'
'-x,y+1/2,-z'
'x,-y+1/2,z'
loop_
_atom_site_label
_atom_site_fract_x
_atom_site_fract_y
_atom_site_fract_z
Tl1 0.086 0.250 0.105
Tl2 0.087 0.557 0.307
Sb1 0.211 0.250 0.526
S1 0.015 0.750 0.575
S2 0.156 0.578 0.966
S3 0.180 0.250 0.774

---

(5)
# LuMgScRh (PBE-GGA, optimized geometry)
# calculated formation energy	-0.458	eV per atom
# electronic total energy	-86.52	eV for the cell shown
data_LuMgScRh
_chemical_formula_sum 'Lu4 Mg4 Sc4 Rh4'
_symmetry_space_group_name_H-M 'F -4 3 m'
_symmetry_Int_Tables_number 216
_symmetry_space_group_name_Hall 'F -4 2 3'
_cell_length_a 6.869
_cell_length_b 6.869
_cell_length_c 6.869
_cell_angle_alpha 90.00
_cell_angle_beta 90.00
_cell_angle_gamma 90.00
loop_
_atom_site_label
_atom_site_fract_x
_atom_site_fract_y
_atom_site_fract_z
Lu1 0.000 0.000 0.000
Mg1 0.250 0.250 0.250
Sc1 0.000 0.000 0.500
Rh1 0.250 0.250 0.750

---

(6)
# BaSn3Hg2 (PBE-GGA, optimized geometry)
# calculated formation energy	-0.260	eV per atom
# electronic total energy	-16.10	eV for the cell shown
data_BaSn3Hg2
_chemical_formula_sum 'Ba1 Sn3 Hg2'
_symmetry_space_group_name_H-M 'P 6/m m m'
_symmetry_Int_Tables_number 191
_symmetry_space_group_name_Hall '-P 6 2'
_cell_length_a 6.2473
_cell_length_b 6.2473
_cell_length_c 5.4980
_cell_angle_alpha 90.00
_cell_angle_beta 90.00
_cell_angle_gamma 120.00
loop_
_atom_site_label
_atom_site_fract_x
_atom_site_fract_y
_atom_site_fract_z
Ba1 0.0000 0.0000 0.0000
Sn1 0.0000 0.5000 0.5000
Hg1 0.3333 0.6667 0.0000

---

(7)
# Y6Tm3Pu (PBE-GGA, optimized geometry)
# calculated formation energy	0.248	eV per atom
# electronic total energy	-128.10	eV for the cell shown
data_Y6Tm3Pu
_chemical_formula_sum 'Y12 Tm6 Pu2'
_symmetry_space_group_name_H-M 'C 1 2/m 1'
_symmetry_Int_Tables_number 12
_cell_length_a 11.617
_cell_length_b 6.622
_cell_length_c 8.823
_cell_angle_alpha 90.00
_cell_angle_beta 107.23
_cell_angle_gamma 90.00
loop_
_symmetry_equiv_pos_as_xyz
'x,y,z'
'-x,-y,-z'
'-x,y,-z'
'x,-y,z'
'x+1/2,y+1/2,z'
'-x+1/2,-y+1/2,-z'
'-x+1/2,y+1/2,-z'
'x+1/2,-y+1/2,z'
loop_
_atom_site_label
_atom_site_fract_x
_atom_site_fract_y
_atom_site_fract_z
Y1 0.139 0.000 0.415
Y2 0.158 0.254 0.806
Tm1 0.000 0.500 0.500
Tm2 0.096 0.500 0.176
Pu1 0.000 0.000 0.000

---

(8)
# PrGdSi2 (PBE-GGA, optimized geometry)
# electronic total energy	-94.60	eV for the cell shown
data_PrGdSi2
_chemical_formula_sum 'Pr3 Gd3 Si6'
_symmetry_space_group_name_H-M 'R -3 m'
_symmetry_Int_Tables_number 166
_symmetry_space_group_name_Hall '-R 3 2"'
_cell_length_a 4.7034
_cell_length_b 4.7034
_cell_length_c 15.7594
_cell_angle_alpha 90.00
_cell_angle_beta 90.00
_cell_angle_gamma 120.00
loop_
_atom_site_label
_atom_site_fract_x
_atom_site_fract_y
_atom_site_fract_z
Pr1 0.0000 0.0000 0.0000
Gd1 0.0000 0.0000 0.5000
Si1 0.0000 0.0000 0.2416

---

(9)
# BaPdRuCl2 (PBE-GGA, optimized geometry)
# electronic total energy	-22.67	eV for the cell shown
data_BaPdRuCl2
_chemical_formula_sum 'Ba1 Pd1 Ru1 Cl2'
_symmetry_space_group_name_H-M 'P 4/m m m'
_symmetry_Int_Tables_number 123
_symmetry_space_group_name_Hall '-P 4 2'
_cell_length_a 4.856
_cell_length_b 4.856
_cell_length_c 5.099
_cell_angle_alpha 90.00
_cell_angle_beta 90.00
_cell_angle_gamma 90.00
loop_
_atom_site_label
_atom_site_fract_x
_atom_site_fract_y
_atom_site_fract_z
Ba1 0.000 0.000 0.000
Pd1 0.500 0.500 0.000
Ru1 0.500 0.500 0.500
Cl1 0.000 0.500 0.500

---

(10)
# CaCrN3 (PBE-GGA, optimized geometry)
# electronic total energy	-37.50	eV for the cell shown
data_CaCrN3
_chemical_formula_sum 'Ca1 Cr1 N3'
_symmetry_space_group_name_H-M 'P m -3 m'
_symmetry_Int_Tables_number 221
_symmetry_space_group_name_Hall '-P 4 2 3'
_cell_length_a 3.753
_cell_length_b 3.753
_cell_length_c 3.753
_cell_angle_alpha 90.00
_cell_angle_beta 90.00
_cell_angle_gamma 90.00
loop_
_atom_site_label
_atom_site_fract_x
_atom_site_fract_y
_atom_site_fract_z
Ca1 0.000 0.000 0.000
Cr1 0.500 0.500 0.500
N1 0.000 0.500 0.500

---

(11)
# TbPm5Y2 (PBE-GGA, optimized geometry)
# calculated formation energy	0.182	eV per atom
# relative energy among the computed polymorphs	0.167	eV per atom
# electronic total energy	-79.72	eV for the cell shown
data_TbPm5Y2
_chemical_formula_sum 'Tb2 Pm10 Y4'
_symmetry_space_group_name_H-M 'P -1'
_symmetry_Int_Tables_number 2
_cell_length_a 6.718
_cell_length_b 8.676
_cell_length_c 9.935
_cell_angle_alpha 83.64
_cell_angle_beta 79.09
_cell_angle_gamma 75.51
loop_
_symmetry_equiv_pos_as_xyz
'x,y,z'
'-x,-y,-z'
loop_
_atom_site_label
_atom_site_fract_x
_atom_site_fract_y
_atom_site_fract_z
Tb1 0.211 0.364 0.021
Pm1 0.102 0.358 0.376
Pm2 0.184 0.258 0.717
Pm3 0.313 0.709 0.794
Pm4 0.326 0.658 0.188
Pm5 0.401 0.019 0.171
Y1 0.000 0.000 0.000
Y2 0.000 0.000 0.500
Y3 0.500 0.000 0.500
Y4 0.500 0.500 0.500

---

(12)
# NbSi2ICl (PBE-GGA, optimized geometry)
# electronic total energy	-17.32	eV for the cell shown
data_NbSi2ICl
_chemical_formula_sum 'Nb1 Si2 I1 Cl1'
_symmetry_space_group_name_H-M 'P 4/m m m'
_symmetry_Int_Tables_number 123
_symmetry_space_group_name_Hall '-P 4 2'
_cell_length_a 4.476
_cell_length_b 4.476
_cell_length_c 5.949
_cell_angle_alpha 90.00
_cell_angle_beta 90.00
_cell_angle_gamma 90.00
loop_
_atom_site_label
_atom_site_fract_x
_atom_site_fract_y
_atom_site_fract_z
Nb1 0.000 0.000 0.000
Si1 0.000 0.500 0.500
I1 0.500 0.500 0.000
Cl1 0.500 0.500 0.500

---

(13)
# Ti3AlIn (PBE-GGA, optimized geometry)
# calculated formation energy	0.081	eV per atom
# relative energy among the computed polymorphs	0.039	eV per atom
# electronic total energy	-119.04	eV for the cell shown
data_Ti3AlIn
_chemical_formula_sum 'Ti12 Al4 In4'
_symmetry_space_group_name_H-M 'C m c m'
_symmetry_Int_Tables_number 63
_symmetry_space_group_name_Hall '-C 2c 2'
_cell_length_a 5.002
_cell_length_b 14.730
_cell_length_c 5.271
_cell_angle_alpha 90.00
_cell_angle_beta 90.00
_cell_angle_gamma 90.00
loop_
_atom_site_label
_atom_site_fract_x
_atom_site_fract_y
_atom_site_fract_z
Ti1 0.000 0.000 0.000
Ti2 0.250 0.148 0.250
Al1 0.000 0.461 0.250
In1 0.000 0.173 0.750

---

(14)
# NbCuSbAs2 (PBE-GGA, optimized geometry)
# electronic total energy	-24.62	eV for the cell shown
data_NbCuSbAs2
_chemical_formula_sum 'Nb1 Cu1 Sb1 As2'
_symmetry_space_group_name_H-M 'P 4/m m m'
_symmetry_Int_Tables_number 123
_symmetry_space_group_name_Hall '-P 4 2'
_cell_length_a 4.974
_cell_length_b 4.974
_cell_length_c 4.909
_cell_angle_alpha 90.00
_cell_angle_beta 90.00
_cell_angle_gamma 90.00
loop_
_atom_site_label
_atom_site_fract_x
_atom_site_fract_y
_atom_site_fract_z
Nb1 0.000 0.000 0.000
Cu1 0.000 0.000 0.500
Sb1 0.500 0.500 0.500
As1 0.000 0.500 0.000

---

(15)
# NiSb2Au (PBE-GGA, optimized geometry)
# electronic total energy	-33.07	eV for the cell shown
data_NiSb2Au
_chemical_formula_sum 'Ni2 Sb4 Au2'
_symmetry_space_group_name_H-M 'C 1 2/m 1'
_symmetry_Int_Tables_number 12
_cell_length_a 6.154
_cell_length_b 7.135
_cell_length_c 3.685
_cell_angle_alpha 90.00
_cell_angle_beta 91.21
_cell_angle_gamma 90.00
loop_
_symmetry_equiv_pos_as_xyz
'x,y,z'
'-x,-y,-z'
'-x,y,-z'
'x,-y,z'
'x+1/2,y+1/2,z'
'-x+1/2,-y+1/2,-z'
'-x+1/2,y+1/2,-z'
'x+1/2,-y+1/2,z'
loop_
_atom_site_label
_atom_site_fract_x
_atom_site_fract_y
_atom_site_fract_z
Ni1 0.000 0.000 0.000
Sb1 0.250 0.250 0.500
Au1 0.000 0.500 0.000

---

(16)
# BaScNi2B (PBE-GGA, optimized geometry)
# calculated formation energy	0.253	eV per atom
# electronic total energy	-25.23	eV for the cell shown
data_BaScNi2B
_chemical_formula_sum 'Ba1 Sc1 Ni2 B1'
_symmetry_space_group_name_H-M 'P 4/m m m'
_symmetry_Int_Tables_number 123
_symmetry_space_group_name_Hall '-P 4 2'
_cell_length_a 4.268
_cell_length_b 4.268
_cell_length_c 4.660
_cell_angle_alpha 90.00
_cell_angle_beta 90.00
_cell_angle_gamma 90.00
loop_
_atom_site_label
_atom_site_fract_x
_atom_site_fract_y
_atom_site_fract_z
Ba1 0.000 0.000 0.000
Sc1 0.500 0.500 0.000
Ni1 0.000 0.500 0.500
B1 0.500 0.500 0.500

---

(17)
# Tb3Ge2Pt6 (PBE-GGA, optimized geometry)
# calculated formation energy	-0.944	eV per atom
# electronic total energy	-279.01	eV for the cell shown
data_Tb3Ge2Pt6
_chemical_formula_sum 'Tb12 Ge8 Pt24'
_symmetry_space_group_name_H-M 'I m -3 m'
_symmetry_Int_Tables_number 229
_symmetry_space_group_name_Hall '-I 4 2 3'
_cell_length_a 9.509
_cell_length_b 9.509
_cell_length_c 9.509
_cell_angle_alpha 90.00
_cell_angle_beta 90.00
_cell_angle_gamma 90.00
loop_
_atom_site_label
_atom_site_fract_x
_atom_site_fract_y
_atom_site_fract_z
Tb1 0.000 0.000 0.292
Ge1 0.250 0.250 0.250
Pt1 0.000 0.325 0.325

---

(18)
# AlGeAu (PBE-GGA, optimized geometry)
# calculated formation energy	-0.081	eV per atom
# electronic total energy	-23.76	eV for the cell shown
data_AlGeAu
_chemical_formula_sum 'Al2 Ge2 Au2'
_symmetry_space_group_name_H-M 'P 1 21/m 1'
_symmetry_Int_Tables_number 11
_cell_length_a 3.824
_cell_length_b 3.568
_cell_length_c 8.313
_cell_angle_alpha 90.00
_cell_angle_beta 102.85
_cell_angle_gamma 90.00
loop_
_symmetry_equiv_pos_as_xyz
'x,y,z'
'-x,-y,-z'
'-x,y+1/2,-z'
'x,-y+1/2,z'
loop_
_atom_site_label
_atom_site_fract_x
_atom_site_fract_y
_atom_site_fract_z
Al1 0.196 0.250 0.384
Ge1 0.228 0.750 0.959
Au1 0.354 0.250 0.703

---

(19)
# CePu4Pd3 (PBE-GGA, optimized geometry)
# calculated formation energy	-0.344	eV per atom
# electronic total energy	-81.59	eV for the cell shown
data_CePu4Pd3
_chemical_formula_sum 'Ce1 Pu4 Pd3'
_symmetry_space_group_name_H-M 'P -1'
_symmetry_Int_Tables_number 2
_cell_length_a 3.604
_cell_length_b 5.056
_cell_length_c 9.613
_cell_angle_alpha 105.10
_cell_angle_beta 100.61
_cell_angle_gamma 90.01
loop_
_symmetry_equiv_pos_as_xyz
'x,y,z'
'-x,-y,-z'
loop_
_atom_site_label
_atom_site_fract_x
_atom_site_fract_y
_atom_site_fract_z
Ce1 0.000 0.000 0.000
Pu1 0.101 0.635 0.270
Pu2 0.324 0.265 0.531
Pd1 0.368 0.871 0.743
Pd2 0.500 0.500 0.000

---

(20)
# AlPtRh (PBE-GGA, optimized geometry)
# calculated formation energy	-0.736	eV per atom
# relative energy among the computed polymorphs	0.000	eV per atom
# electronic total energy	-38.68	eV for the cell shown
data_AlPtRh
_chemical_formula_sum 'Al2 Pt2 Rh2'
_symmetry_space_group_name_H-M 'I 4 m m'
_symmetry_Int_Tables_number 107
_symmetry_space_group_name_Hall 'I 4 -2'
_cell_length_a 2.878
_cell_length_b 2.878
_cell_length_c 10.428
_cell_angle_alpha 90.00
_cell_angle_beta 90.00
_cell_angle_gamma 90.00
loop_
_atom_site_label
_atom_site_fract_x
_atom_site_fract_y
_atom_site_fract_z
Al1 0.000 0.000 0.000
Pt1 0.000 0.000 0.343
Rh1 0.000 0.000 0.646

---

(21)
# CsSe4S9 (PBE-GGA, optimized geometry)
# electronic total energy	-105.51	eV for the cell shown
data_CsSe4S9
_chemical_formula_sum 'Cs2 Se8 S18'
_symmetry_space_group_name_H-M 'P 1'
_symmetry_Int_Tables_number 1
_cell_length_a 6.573
_cell_length_b 9.678
_cell_length_c 18.465
_cell_angle_alpha 75.08
_cell_angle_beta 89.10
_cell_angle_gamma 89.80
loop_
_symmetry_equiv_pos_as_xyz
'x,y,z'
loop_
_atom_site_label
_atom_site_fract_x
_atom_site_fract_y
_atom_site_fract_z
Cs1 0.000 0.000 0.000
Cs2 0.499 0.477 0.039
Se1 0.041 0.570 0.271
Se2 0.071 0.398 0.837
Se3 0.302 0.131 0.142
Se4 0.332 0.842 0.857
Se5 0.549 0.720 0.206
Se6 0.574 0.335 0.770
Se7 0.809 0.754 0.898
Se8 0.819 0.184 0.185
S1 0.120 0.657 0.901
S2 0.272 0.310 0.563
S3 0.296 0.907 0.394
S4 0.327 0.506 0.233
S5 0.350 0.289 0.877
S6 0.386 0.117 0.352
S7 0.392 0.371 0.455
S8 0.487 0.860 0.957
S9 0.534 0.197 0.432
S10 0.615 0.037 0.142
S11 0.726 0.655 0.528
S12 0.827 0.647 0.164
S13 0.851 0.221 0.801
S14 0.870 0.490 0.605
S15 0.875 0.849 0.508
S16 0.958 0.321 0.562
S17 0.982 0.297 0.085
S18 0.982 0.901 0.398

---

(22)
# Co7Ge3H2 (PBE-GGA, optimized geometry)
# electronic total energy	-143.21	eV for the cell shown
data_Co7Ge3H2
_chemical_formula_sum 'Co14 Ge6 H4'
_symmetry_space_group_name_H-M 'C m m m'
_symmetry_Int_Tables_number 65
_symmetry_space_group_name_Hall '-C 2 2'
_cell_length_a 3.615
_cell_length_b 18.299
_cell_length_c 3.546
_cell_angle_alpha 90.00
_cell_angle_beta 90.00
_cell_angle_gamma 90.00
loop_
_atom_site_label
_atom_site_fract_x
_atom_site_fract_y
_atom_site_fract_z
Co1 0.000 0.000 0.000
Co2 0.000 0.097 0.500
Co3 0.000 0.202 0.000
Co4 0.000 0.402 0.000
Ge1 0.000 0.309 0.500
Ge2 0.000 0.500 0.500
H1 0.000 0.100 0.000

---

(23)
# KHgSe2Br (PBE-GGA, optimized geometry)
# relative energy among the computed polymorphs	0.000	eV per atom
# electronic total energy	-11.41	eV for the cell shown
data_KHgSe2Br
_chemical_formula_sum 'K1 Hg1 Se2 Br1'
_symmetry_space_group_name_H-M 'P 4/m m m'
_symmetry_Int_Tables_number 123
_symmetry_space_group_name_Hall '-P 4 2'
_cell_length_a 5.260
_cell_length_b 5.260
_cell_length_c 6.172
_cell_angle_alpha 90.00
_cell_angle_beta 90.00
_cell_angle_gamma 90.00
loop_
_atom_site_label
_atom_site_fract_x
_atom_site_fract_y
_atom_site_fract_z
K1 0.000 0.000 0.000
Hg1 0.500 0.500 0.500
Se1 0.000 0.500 0.500
Br1 0.500 0.500 0.000